VASP calculation (PBE-GGA) on a relaxed structure of LiCrBiAu.

Structure (extended XYZ):
```
4
Lattice="-1.4511 -4.4785 0.6150 2.2423 -2.8182 3.0937 -2.1434 -1.2669 4.0425" Properties=species:S:1:pos:R:3 pbc="T T T"
Cr -1.0142 -6.4227 5.8134
Au -0.6761 -4.2818 3.8756
Bi 0.0000 0.0000 0.0000
Li -0.3381 -2.1409 1.9378
```

Calculated values
total magnetic moment	3.6	μB/f.u.
ΔH_f (0 K)	-0.27	eV per formula unit
crystal system	cubic
raw total energy	-4.741	eV per atom

***

VASP calculation (PBE-GGA) on a relaxed structure of Cr2BiMoAu.

Structure (extended XYZ):
```
5
Lattice="-3.1903 -3.3591 -0.3416 2.8918 -3.0634 3.1173 -2.1978 1.7092 3.7184" Properties=species:S:1:pos:R:3 pbc="T T T"
Cr -1.0989 0.8546 1.8592
Cr -1.5951 -1.6795 -0.1708
Mo 0.0000 0.0000 0.0000
Au 1.4459 -1.5317 1.5587
Bi -1.2481 -2.3567 3.2471
```

Calculated values
total magnetic moment	4.8	μB/f.u.
ΔH_f (0 K)	5.56	eV per formula unit
crystal system	tetragonal
raw total energy	-6.335	eV per atom